The following is a DFT calculation (PBE+U) of CaMn3O6 after structural relaxation.

Cell: 7.390 13.078 4.988 Å, 90.00 90.00 90.00°
Space group Cmc2_1 (No. 36)
One atom of each set of equivalent atoms:
1 Ca 0.000 0.214 0.000
2 Mn 0.000 0.402 0.437
3 Mn 0.181 0.063 0.539
4 O 0.000 0.038 0.857
5 O 0.000 0.161 0.445
6 O 0.179 0.453 0.700
7 O 0.185 0.335 0.226

Total magnetic moment (μB/atom): 1.10
V (Å³/atom): 12.1
ΔE to the lowest computed polymorph (kJ/mol of formula units): 89